Compound: MgTi2V2
Source: the Alexandria database
Functional: PBE
Structure: relaxed

Cell: 7.0783 7.0783 3.3201 Å, 90.00 90.00 90.00°
Fractional positions:
Mg (0.0000, 0.0000, 0.0000)
Mg (0.5000, 0.5000, 0.0000)
Ti (0.1683, 0.3317, 0.5000)
Ti (0.3317, 0.8317, 0.5000)
Ti (0.6683, 0.1683, 0.5000)
Ti (0.8317, 0.6683, 0.5000)
V (0.1215, 0.6215, 0.0000)
V (0.3785, 0.1215, 0.0000)
V (0.6215, 0.8785, 0.0000)
V (0.8785, 0.3785, 0.0000)

Output
- SG: No. 127
- ΔH_f (0 K): 196 meV/atom